Entry 1:
Below is an optimized crystal structure of Dy2HoPu3Se6, with properties calculated at the GGA-PBE level.

- Total magnetic moment: 6.2 μB/f.u.
- E_tot: -94.2 eV per cell
- Crystal system: monoclinic
- ΔE_f (raw): -1375 meV per atom
- Space group: C2/m (12)

a = 3.6025 Å, b = 7.2184 Å, c = 11.0586 Å
α = 89.94°, β = 99.37°, γ = 90.00°
Site moments in Bohr magnetons follow the coordinates.
Atoms (fractional coordinates):
Dy (0.6603, 0.0119, 0.3206)  -0.23
Dy (0.3397, 0.9881, 0.6794)  -0.23
Ho (0.5000, 0.0000, 0.0000)  0.37
Pu (0.5000, 0.5000, 0.0000)  5.59
Pu (0.3356, 0.5078, 0.6713)  -5.62
Pu (0.6644, 0.4922, 0.3287)  -5.62
Se (0.2371, 0.2399, 0.4742)  0.06
Se (0.9124, 0.2411, 0.8248)  0.00
Se (0.7629, 0.7601, 0.5258)  0.06
Se (0.9216, 0.7592, 0.8431)  0.00
Se (0.0784, 0.2408, 0.1569)  0.00
Se (0.0876, 0.7589, 0.1752)  0.00

Entry 2:
Below is an optimized crystal structure of DyHoPu2Se4, with properties calculated at the GGA-PBE level.

- Total magnetic moment: 11.8 μB/f.u.
- E_tot: -65.1 eV per cell
- Crystal system: monoclinic
- ΔE_f (raw): -1664 meV per atom
- Space group: P2/m (10)

a = 4.0843 Å, b = 7.0681 Å, c = 7.1718 Å
α = 109.22°, β = 90.00°, γ = 90.00°
Site moments in Bohr magnetons follow the coordinates.
Atoms (fractional coordinates):
Dy (0.5000, 0.5000, 0.0000)  0.03
Ho (0.0000, 0.0000, 0.0000)  0.03
Pu (0.5000, 0.0000, 0.5000)  5.49
Pu (0.0000, 0.5000, 0.5000)  5.50
Se (0.5000, 0.2470, 0.2433)  -0.04
Se (0.5000, 0.7530, 0.7567)  -0.04
Se (0.0000, 0.2512, 0.7561)  -0.04
Se (0.0000, 0.7488, 0.2439)  -0.04